1.
# GaP3O9

A relaxed GaP3O9 crystal (PBE, the Alexandria database).

Values from the calculation:
Energy above the most stable polymorph in this dataset (meV per atom): 0
SG: Cc (9)

Cell lengths 11.6633, 11.6633, 9.4714 Å; angles 109.79, 109.79, 111.00 degrees
Atoms (fractional coordinates):
Ga (0.0798, 0.9202, 0.5000)
Ga (0.2618, 0.7724, 0.0300)
Ga (0.4096, 0.5866, 0.4968)
Ga (0.5866, 0.4096, 0.9968)
Ga (0.7724, 0.2618, 0.5300)
Ga (0.9202, 0.0798, 0.0000)
P (0.0070, 0.7347, 0.6878)
P (0.0646, 0.4337, 0.2468)
P (0.0675, 0.6765, 0.1943)
P (0.1034, 0.1651, 0.8206)
P (0.1255, 0.4192, 0.7855)
P (0.1651, 0.1034, 0.3206)
P (0.3288, 0.3852, 0.6630)
P (0.3852, 0.3288, 0.1630)
P (0.4192, 0.1255, 0.2855)
P (0.4337, 0.0646, 0.7468)
P (0.4469, 0.8448, 0.8451)
P (0.5118, 0.7863, 0.3421)
P (0.6765, 0.0675, 0.6943)
P (0.7175, 0.7541, 0.2277)
P (0.7347, 0.0070, 0.1878)
P (0.7541, 0.7175, 0.7277)
P (0.7863, 0.5118, 0.8421)
P (0.8448, 0.4469, 0.3451)
O (0.0291, 0.2933, 0.1118)
O (0.0448, 0.5215, 0.1502)
O (0.0647, 0.7406, 0.3594)
O (0.0784, 0.9729, 0.3219)
O (0.0821, 0.7427, 0.8575)
O (0.0822, 0.8620, 0.6744)
O (0.0993, 0.0987, 0.1505)
O (0.0987, 0.0993, 0.6505)
O (0.1393, 0.3255, 0.8748)
O (0.1746, 0.5618, 0.9320)
O (0.1957, 0.7702, 0.1949)
O (0.1966, 0.2426, 0.4777)
O (0.2075, 0.5276, 0.4183)
O (0.2426, 0.1966, 0.9777)
O (0.2438, 0.4461, 0.7312)
O (0.2933, 0.0291, 0.6118)
O (0.3255, 0.1393, 0.3748)
O (0.3349, 0.7552, 0.8703)
O (0.3359, 0.9802, 0.1213)
O (0.3473, 0.4052, 0.2841)
O (0.3956, 0.9403, 0.7898)
O (0.4052, 0.3473, 0.7841)
O (0.4059, 0.6790, 0.3576)
O (0.4187, 0.4907, 0.6309)
O (0.4461, 0.2438, 0.2312)
O (0.4501, 0.8268, 0.2143)
O (0.4782, 0.7663, 0.7166)
O (0.4907, 0.4187, 0.1309)
O (0.5215, 0.0448, 0.6502)
O (0.5276, 0.2075, 0.9183)
O (0.5618, 0.1746, 0.4320)
O (0.5921, 0.9701, 0.0304)
O (0.6078, 0.7303, 0.2958)
O (0.6116, 0.6583, 0.5716)
O (0.6352, 0.9264, 0.5318)
O (0.6583, 0.6116, 0.0716)
O (0.6790, 0.4059, 0.8576)
O (0.7001, 0.8489, 0.1428)
O (0.7303, 0.6078, 0.7958)
O (0.7406, 0.0647, 0.8594)
O (0.7427, 0.0821, 0.3575)
O (0.7552, 0.3349, 0.3703)
O (0.7663, 0.4782, 0.2166)
O (0.7702, 0.1957, 0.6949)
O (0.8268, 0.4501, 0.7143)
O (0.8302, 0.8663, 0.8820)
O (0.8489, 0.7001, 0.6428)
O (0.8620, 0.0822, 0.1744)
O (0.8663, 0.8302, 0.3820)
O (0.9264, 0.6352, 0.0318)
O (0.9403, 0.3956, 0.2898)
O (0.9701, 0.5921, 0.5304)
O (0.9729, 0.0784, 0.8219)
O (0.9802, 0.3359, 0.6213)

---

2.
# FeCo2Pd5

A relaxed FeCo2Pd5 crystal (PBE, the Alexandria database).

Values from the calculation:
Formation energy from the elements (eV per atom): 0.02
SG: Pbam (55)

Cell lengths 5.4354, 10.8639, 3.8154 Å; angles 90.00, 90.00, 90.00 degrees
Atoms (fractional coordinates):
Fe (0.0000, 0.0000, 0.0000)
Fe (0.5000, 0.5000, 0.0000)
Co (0.2505, 0.1242, 0.5000)
Co (0.2495, 0.6242, 0.5000)
Co (0.7505, 0.3758, 0.5000)
Co (0.7495, 0.8758, 0.5000)
Pd (0.0000, 0.5000, 0.0000)
Pd (0.0131, 0.2448, 0.0000)
Pd (0.2370, 0.8814, 0.5000)
Pd (0.2630, 0.3814, 0.5000)
Pd (0.4869, 0.7448, 0.0000)
Pd (0.5000, 0.0000, 0.0000)
Pd (0.5131, 0.2552, 0.0000)
Pd (0.7370, 0.6186, 0.5000)
Pd (0.7630, 0.1186, 0.5000)
Pd (0.9869, 0.7552, 0.0000)